[1]
First-principles (PBE) data for crystalline PmTeIr at its relaxed geometry, as listed in Alexandria via LeMat-Bulk.

The structure in POSCAR format:
```
PmTeIr
1.0
4.502 0.000 0.000
-2.251 3.899 0.000
0.000 0.000 4.064
Pm Te Ir
1 1 1
Direct
0.000 0.000 0.000
0.667 0.333 0.490
0.333 0.667 0.568
```

Summary:
- energy relative to the lowest polymorph listed for this composition (meV per atom) = 19
- formation energy (no corrections) (eV/atom) = -0.829
- D(E_F) (states/eV per atom) = 0.427

---

[2]
First-principles (PBE) data for crystalline AcPrDySe3 at its relaxed geometry, as listed in Alexandria via LeMat-Bulk.

The structure in POSCAR format:
```
AcPrDySe3
1.0
8.224 0.000 0.000
0.000 4.210 0.000
-2.505 0.000 10.433
Ac Pr Dy Se
2 2 2 6
Direct
0.182 0.250 0.206
0.818 0.750 0.794
0.177 0.250 0.623
0.823 0.750 0.377
0.339 0.750 0.905
0.661 0.250 0.095
0.102 0.250 0.894
0.203 0.750 0.431
0.471 0.750 0.180
0.529 0.250 0.820
0.797 0.250 0.569
0.898 0.750 0.106
```

Summary:
- formation energy (no corrections) (eV/atom) = -1.673
- D(E_F) (states/eV per atom) = 0.480

---

[3]
First-principles (PBE) data for crystalline PrGdGa2 at its relaxed geometry, as listed in Alexandria via LeMat-Bulk.

The structure in POSCAR format:
```
PrGdGa2
1.0
0.000 3.671 3.671
3.671 0.000 3.671
3.671 3.671 0.000
Pr Gd Ga
1 1 2
Direct
0.000 0.000 0.000
0.500 0.500 0.500
0.250 0.250 0.250
0.750 0.750 0.750
```

Summary:
- E_form (eV/f.u.) = -2.2
- energy relative to the lowest polymorph listed for this composition (meV per atom) = 18
- D(E_F) (states/eV per atom) = 0.522

---

[4]
First-principles (PBE) data for crystalline BePb2Br at its relaxed geometry, as listed in Alexandria via LeMat-Bulk.

The structure in POSCAR format:
```
BePb2Br
1.0
-2.478 2.478 4.288
2.478 -2.478 4.288
2.478 2.478 -4.288
Be Pb Br
1 2 1
Direct
0.000 0.000 0.000
0.250 0.750 0.500
0.750 0.250 0.500
0.500 0.500 0.000
```

Summary:
- energy relative to the lowest polymorph listed for this composition (meV per atom) = 334
- formation energy (no corrections) (eV/atom) = 0.446
- D(E_F) (states/eV per atom) = 0.613

---

[5]
First-principles (PBE) data for crystalline ErHf2AlIr4 at its relaxed geometry, as listed in Alexandria via LeMat-Bulk.

The structure in POSCAR format:
```
ErHf2AlIr4
1.0
2.273 1.312 7.796
-2.273 1.312 7.796
0.000 -2.625 7.796
Er Hf Al Ir
1 2 1 4
Direct
0.000 0.000 0.000
0.245 0.245 0.245
0.755 0.755 0.755
0.500 0.500 0.500
0.129 0.129 0.129
0.389 0.389 0.389
0.611 0.611 0.611
0.871 0.871 0.871
```

Summary:
- E_form (eV/f.u.) = -7.0
- D(E_F) (states/eV per atom) = 0.751

---

[6]
First-principles (PBE) data for crystalline KRbPtI6 at its relaxed geometry, as listed in Alexandria via LeMat-Bulk.

The structure in POSCAR format:
```
KRbPtI6
1.0
4.197 -7.282 0.000
4.197 7.282 0.000
-0.005 0.000 7.431
K Rb Pt I
1 1 1 6
Direct
0.000 0.000 0.000
0.334 0.666 0.500
0.667 0.333 0.000
0.402 0.073 0.787
0.403 0.329 0.214
0.671 0.073 0.214
0.671 0.597 0.786
0.927 0.329 0.786
0.927 0.598 0.213
```

Summary:
- formation energy (no corrections) (eV/atom) = -0.671